Here is a relaxed PmPr3S4 crystal from Alexandria. Energies are from PBE.

```
8
Lattice="-2.9053 2.5596 1.2033 -3.8560 -1.6876 -5.7200 -1.6775 -4.4025 5.3141" Properties=species:S:1:pos:R:3 pbc="T T T"
Pr -1.9280 -0.8438 -2.8600
Pr -0.8388 -2.2012 2.6570
Pr -4.2194 -1.7653 0.3987
Pm -1.4527 1.2798 0.6017
S -4.1753 -4.5953 -0.3063
S -4.7689 -1.0804 -2.3847
S -1.3582 -1.4948 -0.0996
S -3.6699 -2.4501 3.1821
```

- ρ: 5.981 Mg/m³
- Total magnetic moment: 0.00 Bohr magnetons per cell
- Formation energy (no corrections): -2.022 eV/atom
- E above lowest polymorph: 4.7 meV/atom
- Space-group type: No. 65